Here is LiTl2Ni after structural relaxation from Alexandria via LeMat-Bulk. Energies are from PBE. Values from VASP.

Summary:
The calculated volume is 20.37 Å³/atom. The final energy is -11.5 eV for the cell shown. The density of states at the Fermi level comes out at 0.8 states/eV/cell. The crystal system is cubic. The formation energy comes out at 0.227 eV per atom.

Structure (Quantum ESPRESSO input):
```
&SYSTEM
  ibrav = 0, nat = 4, ntyp = 3
/
ATOMIC_SPECIES
Li 6.94 Li.upf
Tl 204.38 Tl.upf
Ni 58.69 Ni.upf
CELL_PARAMETERS angstrom
0.000 3.441 3.441
3.441 0.000 3.441
3.441 3.441 0.000
ATOMIC_POSITIONS angstrom
Li 0.000 0.000 0.000
Tl 1.721 1.721 1.721
Tl 3.441 3.441 3.441
Ni 5.162 5.162 5.162
```



Here is SiBSN2 after structural relaxation from Alexandria via LeMat-Bulk. Energies are from PBE. Values from VASP.

Summary:
The calculated volume is 14.45 Å³/atom. The final energy is -27.8 eV for the cell shown. The density of states at the Fermi level comes out at 1.8 states/eV/cell. The crystal system is tetragonal. The formation energy from raw total energies comes out at 1.008 eV per atom.

Structure (Quantum ESPRESSO input):
```
&SYSTEM
  ibrav = 0, nat = 5, ntyp = 4
/
ATOMIC_SPECIES
Si 28.09 Si.upf
B 10.81 B.upf
S 32.06 S.upf
N 14.01 N.upf
CELL_PARAMETERS angstrom
3.307 0.000 0.000
0.000 3.307 0.000
0.000 0.000 6.604
ATOMIC_POSITIONS angstrom
Si 0.000 0.000 0.000
B 1.654 1.654 3.302
S 0.000 0.000 3.302
N 0.000 1.654 0.000
N 1.654 0.000 0.000
```